Record 1
Density functional theory data (PBE) for an optimized crystal structure of RbMgNiAs.

```
RbMgNiAs
1.0
0.815 1.369 4.667
-2.006 4.157 1.736
-3.652 -0.218 3.307
Ni As Rb Mg
1 1 1 1
direct
0.500 0.500 0.500
0.250 0.250 0.250
0.000 0.000 0.000
0.750 0.750 0.750
```

Output
Space-group type: F-43m, No. 216
Energy above the most stable polymorph in this dataset, kJ/mol of formula units: 10
M_tot, Bohr magnetons per cell: 0.0


Record 2
Density functional theory data (PBE) for an optimized crystal structure of TbGeIr.

```
TbGeIr
1.0
6.928 0.000 0.000
0.000 4.338 0.000
0.000 0.000 7.615
Ge Tb Ir
4 4 4
direct
0.707 0.250 0.391
0.207 0.250 0.109
0.293 0.750 0.609
0.793 0.750 0.891
0.002 0.750 0.308
0.502 0.750 0.192
0.998 0.250 0.692
0.498 0.250 0.808
0.340 0.250 0.433
0.840 0.250 0.067
0.160 0.750 0.933
0.660 0.750 0.567
```

Output
Space-group type: Pnma, No. 62
M_tot, Bohr magnetons per cell: 0.0


Record 3
Density functional theory data (PBE) for an optimized crystal structure of K2ZrCu2Te4.

```
K2ZrCu2Te4
1.0
3.097 -7.245 0.000
3.097 7.245 0.000
0.000 0.000 6.197
Cu Te K Zr
2 4 2 1
direct
0.000 0.000 0.500
0.500 0.500 0.000
0.846 0.635 0.259
0.635 0.846 0.741
0.154 0.365 0.259
0.365 0.154 0.741
0.000 0.500 0.752
0.500 0.000 0.248
0.000 0.000 0.000
```

Output
Space-group type: C222, No. 21
M_tot, Bohr magnetons per cell: 0.0


Record 4
Density functional theory data (PBE) for an optimized crystal structure of LiNbNiSb.

```
LiNbNiSb
1.0
0.570 -2.810 3.367
0.718 1.552 4.078
-3.128 -0.400 3.101
Sb Nb Li Ni
1 1 1 1
direct
0.000 0.000 0.000
0.500 0.500 0.500
0.250 0.250 0.250
0.750 0.750 0.750
```

Output
Space-group type: F-43m, No. 216
Energy above the most stable polymorph in this dataset, kJ/mol of formula units: 0
M_tot, Bohr magnetons per cell: 1.2


Record 5
Density functional theory data (PBE) for an optimized crystal structure of Hf4SN3.

```
Hf4SN3
1.0
-2.701 -0.509 -1.734
2.657 -1.783 -0.569
-6.895 -15.120 15.179
N Hf S
6 8 2
direct
0.333 0.667 0.613
0.000 0.000 0.000
0.667 0.333 0.387
0.333 0.667 0.887
0.667 0.333 0.113
0.000 0.000 0.500
0.000 0.000 0.670
0.667 0.333 0.941
0.000 0.000 0.330
0.000 0.000 0.830
0.000 0.000 0.170
0.333 0.667 0.059
0.333 0.667 0.441
0.667 0.333 0.559
0.333 0.667 0.250
0.667 0.333 0.750
```

Output
Space-group type: P6_3/mmc, No. 194
M_tot, Bohr magnetons per cell: 0.0


Record 6
Density functional theory data (PBE) for an optimized crystal structure of PrSn.

```
PrSn
1.0
-2.241 2.275 1.789
-1.236 -3.240 -1.171
1.409 -2.176 4.531
Sn Pr
1 1
direct
0.333 0.667 0.250
0.667 0.333 0.750
```

Output
Space-group type: P-6m2, No. 187
M_tot, Bohr magnetons per cell: 0.0


Record 7
Density functional theory data (PBE) for an optimized crystal structure of NbOs2W2.

```
NbOs2W2
1.0
4.384 -0.630 4.288
2.411 4.672 3.218
-5.421 -2.366 -1.735
W Os Nb
2 2 1
direct
0.750 0.250 0.500
0.250 0.750 0.500
0.610 0.610 0.000
0.390 0.390 0.000
0.000 0.000 0.000
```

Output
Space-group type: I4/mmm, No. 139
Energy relative to the elements, eV/atom: 0.44
M_tot, Bohr magnetons per cell: 0.0


Record 8
Density functional theory data (PBE) for an optimized crystal structure of LuFeSnW.

```
LuFeSnW
1.0
2.199 -2.784 3.034
-1.011 -4.555 0.144
3.106 -3.130 -1.532
Lu W Sn Fe
1 1 1 1
direct
0.500 0.500 0.500
0.250 0.250 0.250
0.000 0.000 0.000
0.750 0.750 0.750
```

Output
Space-group type: F-43m, No. 216
Energy above the most stable polymorph in this dataset, kJ/mol of formula units: 0
M_tot, Bohr magnetons per cell: 2.9


Record 9
Density functional theory data (PBE) for an optimized crystal structure of Al7Co6.

```
Al7Co6
1.0
-1.335 8.404 1.399
3.340 7.524 2.571
2.058 8.101 -2.122
Co Al
6 7
direct
0.547 0.547 0.547
0.833 0.833 0.833
0.167 0.167 0.167
0.655 0.655 0.655
0.345 0.345 0.345
0.453 0.453 0.453
0.083 0.578 0.083
0.917 0.917 0.422
0.917 0.422 0.917
0.000 0.000 0.000
0.578 0.083 0.083
0.083 0.083 0.578
0.422 0.917 0.917
```

Output
Space-group type: R-3m, No. 166
Energy above the most stable polymorph in this dataset, kJ/mol of formula units: 472
M_tot, Bohr magnetons per cell: 5.2


Record 10
Density functional theory data (PBE) for an optimized crystal structure of LiPd2Au3.

```
LiPd2Au3
1.0
-4.781 0.039 5.808
0.604 -0.386 7.489
0.340 4.965 0.167
Au Pd Li
6 4 2
direct
0.369 0.631 0.750
0.285 0.041 0.583
0.631 0.369 0.250
0.041 0.285 0.083
0.959 0.715 0.917
0.715 0.959 0.417
0.459 0.211 0.918
0.211 0.459 0.418
0.789 0.541 0.582
0.541 0.789 0.082
0.139 0.861 0.250
0.861 0.139 0.750
```

Output
Space-group type: C2/c, No. 15


Record 11
Density functional theory data (PBE) for an optimized crystal structure of Li4CuNiGe2.

```
Li4CuNiGe2
1.0
-3.547 0.225 -2.144
1.364 -2.962 -2.568
-2.362 -4.102 3.478
Li Cu Ge Ni
4 1 2 1
direct
0.000 0.000 0.500
0.000 0.500 0.252
0.500 0.500 0.000
0.500 0.000 0.748
0.000 0.000 0.000
0.500 0.000 0.262
0.000 0.500 0.738
0.500 0.500 0.500
```

Output
Space-group type: P-4m2, No. 115
M_tot, Bohr magnetons per cell: 0.0


Record 12
Density functional theory data (PBE) for an optimized crystal structure of NdGaTe3Pb.

```
NdGaTe3Pb
1.0
2.276 -7.562 0.000
2.276 7.562 0.000
0.000 0.000 11.118
Nd Te Pb Ga
2 6 2 2
direct
0.500 0.500 0.500
0.500 0.500 0.000
0.609 0.391 0.250
0.391 0.609 0.750
0.146 0.854 0.551
0.854 0.146 0.051
0.146 0.854 0.949
0.854 0.146 0.449
0.266 0.734 0.250
0.734 0.266 0.750
0.981 0.019 0.250
0.019 0.981 0.750
```

Output
Space-group type: Cmcm, No. 63
M_tot, Bohr magnetons per cell: 0.0


| no. | raw total energy (eV per atom) |
| --- | --- |
| 1 | -2.74 |
| 2 | -6.96 |
| 3 | -4.16 |
| 4 | -5.35 |
| 5 | -10.25 |
| 6 | -4.85 |
| 7 | -11.25 |
| 8 | -7.03 |
| 9 | -5.24 |
| 10 | -3.98 |
| 11 | -3.62 |
| 12 | -4.11 |